The following is a SCAN calculation of KCeF4 at its PBEsol-relaxed geometry, from Alexandria via LeMat-Bulk.

Computed properties:
E, eV/atom: -15.040
Energy relative to the elements, uncorrected, eV per atom: -3.86

```
KCeF4
1.0
4.000 0.000 0.000
0.000 4.000 0.000
0.000 0.000 6.146
K Ce F
1 1 4
direct
0.000 0.000 0.000
0.500 0.500 0.500
0.500 0.000 0.714
0.000 0.500 0.286
0.500 0.000 0.286
0.000 0.500 0.714
```

---

The following is a SCAN calculation of Cs2Sc2Ge at its PBEsol-relaxed geometry, from Alexandria via LeMat-Bulk.

Computed properties:
Formation enthalpy at 0 K, kJ/mol of formula units: 471
E, eV/atom: -23.659

```
Cs2Sc2Ge
1.0
4.367 0.000 0.000
0.000 4.367 0.000
-2.184 -2.184 9.031
Cs Sc Ge
2 2 1
direct
0.250 0.750 0.500
0.750 0.250 0.500
0.430 0.430 0.860
0.570 0.570 0.140
0.000 0.000 0.000
```

---

The following is a SCAN calculation of K2ReNi at its PBEsol-relaxed geometry, from Alexandria via LeMat-Bulk.

Computed properties:
Formation enthalpy at 0 K, kJ/mol of formula units: 294
E, eV/atom: -25.220

```
K2ReNi
1.0
-1.136 1.854 -1.605
-2.724 0.589 2.608
5.685 7.175 4.318
K Ni Re
2 1 1
direct
0.983 0.000 0.913
0.550 0.500 0.344
0.985 0.000 0.583
0.482 0.500 0.659
```

---

The following is a SCAN calculation of AlAgRu3 at its PBEsol-relaxed geometry, from Alexandria via LeMat-Bulk.

Computed properties:
Formation enthalpy at 0 K, kJ/mol of formula units: 587
E, eV/atom: -27.503

```
AlAgRu3
1.0
-1.687 -0.250 -4.027
-2.811 -3.059 1.367
-2.895 3.116 1.018
Ru Al Ag
3 1 1
direct
0.000 0.500 0.000
0.000 0.000 0.500
0.500 0.000 0.000
0.000 0.000 0.000
0.500 0.500 0.500
```

---

The following is a SCAN calculation of KTe4Au at its PBEsol-relaxed geometry, from Alexandria via LeMat-Bulk.

Computed properties:
E, eV/atom: -37.674
Energy relative to the elements, uncorrected, eV per atom: 0.07

```
KTe4Au
1.0
-4.888 -3.950 -0.597
-1.231 -4.208 4.542
-5.094 0.706 3.661
Au K Te
1 1 4
direct
0.750 0.750 0.750
0.000 0.000 0.000
0.377 0.377 0.377
0.377 0.377 0.870
0.870 0.377 0.377
0.377 0.870 0.377
```

---

The following is a SCAN calculation of PdC at its PBEsol-relaxed geometry, from Alexandria via LeMat-Bulk.

Computed properties:
Formation enthalpy at 0 K, kJ/mol of formula units: 231
E, eV/atom: -20.240

```
PdC
1.0
-1.292 2.948 0.665
-3.013 0.219 1.295
-0.382 0.961 3.120
C Pd
1 1
direct
0.750 0.750 0.750
0.000 0.000 0.000
```

---

The following is a SCAN calculation of AlReSb2 at its PBEsol-relaxed geometry, from Alexandria via LeMat-Bulk.

Computed properties:
E, eV/atom: -38.267
Energy relative to the elements, uncorrected, eV per atom: 0.08

```
AlReSb2
1.0
3.184 0.580 0.000
-0.579 3.184 0.000
0.000 0.000 7.719
Re Al Sb
1 1 2
direct
0.500 0.500 0.292
0.000 0.000 0.449
0.000 0.000 0.073
0.500 0.500 0.686
```

---

The following is a SCAN calculation of KSb2TeCl at its PBEsol-relaxed geometry, from Alexandria via LeMat-Bulk.

Computed properties:
E, eV/atom: -25.317
Energy relative to the elements, uncorrected, eV per atom: 0.30

```
KSb2TeCl
1.0
5.317 0.000 0.000
0.000 5.317 0.000
0.000 0.000 5.721
Sb K Te Cl
2 1 1 1
direct
0.000 0.500 0.000
0.500 0.000 0.000
0.500 0.500 0.500
0.000 0.000 0.500
0.000 0.000 0.000
```

---

The following is a SCAN calculation of Os2RuPt2 at its PBEsol-relaxed geometry, from Alexandria via LeMat-Bulk.

Computed properties:
Formation enthalpy at 0 K, kJ/mol of formula units: 319
E, eV/atom: -63.132

```
Os2RuPt2
1.0
3.596 0.000 0.000
0.000 3.596 0.000
-1.798 -1.798 6.181
Os Pt Ru
2 2 1
direct
0.595 0.595 0.190
0.405 0.405 0.810
0.250 0.750 0.500
0.750 0.250 0.500
0.000 0.000 0.000
```

---

The following is a SCAN calculation of Cs2TaCl6 at its PBEsol-relaxed geometry, from Alexandria via LeMat-Bulk.

Computed properties:
E, eV/atom: -22.976
Energy relative to the elements, uncorrected, eV per atom: -1.86

```
Cs2TaCl6
1.0
7.226 0.000 0.000
3.613 6.258 0.000
3.613 2.086 5.900
Cs Ta Cl
2 1 6
direct
0.750 0.750 0.750
0.250 0.250 0.250
0.000 0.000 0.000
0.765 0.235 0.235
0.235 0.765 0.235
0.235 0.235 0.765
0.765 0.765 0.235
0.765 0.235 0.765
0.235 0.765 0.765
```

---

The following is a SCAN calculation of K3YTa at its PBEsol-relaxed geometry, from Alexandria via LeMat-Bulk.

Computed properties:
Formation enthalpy at 0 K, kJ/mol of formula units: 863
E, eV/atom: -22.093

```
K3YTa
1.0
-5.578 3.274 -0.551
-3.276 -5.253 1.952
0.538 1.955 6.166
Y K Ta
1 3 1
direct
0.500 0.500 0.500
0.000 0.500 0.000
0.000 0.000 0.500
0.500 0.000 0.000
0.000 0.000 0.000
```

---

The following is a SCAN calculation of NdAlPt at its PBEsol-relaxed geometry, from Alexandria via LeMat-Bulk.

Computed properties:
Formation enthalpy at 0 K, kJ/mol of formula units: -371
E, eV/atom: -41.791

```
NdAlPt
1.0
4.503 0.000 0.000
0.000 7.170 0.000
0.000 0.000 7.881
Nd Al Pt
4 4 4
direct
0.250 0.529 0.182
0.750 0.971 0.682
0.250 0.029 0.318
0.750 0.471 0.818
0.250 0.146 0.933
0.750 0.354 0.433
0.250 0.646 0.567
0.750 0.854 0.067
0.250 0.282 0.611
0.250 0.782 0.889
0.750 0.718 0.389
0.750 0.218 0.111
```

---

The following is a SCAN calculation of KMn3Bi at its PBEsol-relaxed geometry, from Alexandria via LeMat-Bulk.

Computed properties:
Formation enthalpy at 0 K, kJ/mol of formula units: 790
E, eV/atom: -26.697

```
KMn3Bi
1.0
4.842 0.000 0.000
0.000 4.842 0.000
0.000 0.000 4.842
K Mn Bi
1 3 1
direct
0.000 0.000 0.000
0.000 0.500 0.000
0.000 0.000 0.500
0.500 0.000 0.000
0.500 0.500 0.500
```

---

The following is a SCAN calculation of Sr2MoPt at its PBEsol-relaxed geometry, from Alexandria via LeMat-Bulk.

Computed properties:
Formation enthalpy at 0 K, kJ/mol of formula units: 119
E, eV/atom: -37.099

```
Sr2MoPt
1.0
3.812 0.000 0.000
0.000 3.812 0.000
0.000 0.000 6.870
Mo Pt Sr
1 1 2
direct
0.500 0.500 0.500
0.500 0.500 0.000
0.000 0.000 0.233
0.000 0.000 0.767
```

---

The following is a SCAN calculation of CuPtSe2N at its PBEsol-relaxed geometry, from Alexandria via LeMat-Bulk.

Computed properties:
E, eV/atom: -25.957
Energy relative to the elements, uncorrected, eV per atom: 1.01

```
CuPtSe2N
1.0
3.411 0.000 0.000
0.000 4.826 0.000
0.000 0.000 4.826
Cu Se Pt N
1 2 1 1
direct
0.000 0.000 0.000
0.000 0.000 0.500
0.000 0.500 0.000
0.500 0.500 0.500
0.500 0.000 0.000
```

---

The following is a SCAN calculation of BaMgAg at its PBEsol-relaxed geometry, from Alexandria via LeMat-Bulk.

Computed properties:
Formation enthalpy at 0 K, kJ/mol of formula units: -56
E, eV/atom: -25.490

```
BaMgAg
1.0
-0.234 2.024 4.128
-3.098 -3.444 1.513
4.799 -0.617 0.574
Mg Ba Ag
1 1 1
direct
0.500 0.667 0.333
0.000 0.333 0.667
0.500 0.000 0.000
```

---

The following is a SCAN calculation of YTa4W at its PBEsol-relaxed geometry, from Alexandria via LeMat-Bulk.

Computed properties:
Formation enthalpy at 0 K, kJ/mol of formula units: 221
E, eV/atom: -60.262

```
YTa4W
1.0
-2.213 2.291 -4.430
1.483 -1.685 -4.973
-3.502 -2.835 -3.077
Ta W Y
4 1 1
direct
0.375 0.375 0.375
0.375 0.375 0.875
0.875 0.375 0.375
0.375 0.875 0.375
0.750 0.750 0.750
0.000 0.000 0.000
```

---

The following is a SCAN calculation of K2CuW at its PBEsol-relaxed geometry, from Alexandria via LeMat-Bulk.

Computed properties:
Formation enthalpy at 0 K, kJ/mol of formula units: 491
E, eV/atom: -24.114

```
K2CuW
1.0
-2.066 -1.067 1.297
3.793 -3.950 2.793
-0.031 6.654 2.688
Cu K W
1 2 1
direct
0.777 0.277 0.554
0.039 0.039 0.078
0.240 0.740 0.481
0.443 0.443 0.887
```

---

The following is a SCAN calculation of Nd2Te5 at its PBEsol-relaxed geometry, from Alexandria via LeMat-Bulk.

Computed properties:
E, eV/atom: -40.311
Energy relative to the elements, uncorrected, eV per atom: -1.25

```
Nd2Te5
1.0
4.368 0.000 0.000
0.000 4.369 0.000
-2.184 0.000 22.073
Nd Te
4 10
direct
0.693 0.250 0.386
0.307 0.750 0.614
0.902 0.250 0.803
0.098 0.750 0.197
0.620 0.250 0.241
0.380 0.750 0.759
0.827 0.250 0.654
0.173 0.750 0.346
0.958 0.750 0.916
0.042 0.250 0.084
0.542 0.750 0.085
0.458 0.250 0.915
0.750 0.750 0.500
0.250 0.250 0.500
```

---

The following is a SCAN calculation of MnHgRu2 at its PBEsol-relaxed geometry, from Alexandria via LeMat-Bulk.

Computed properties:
Formation enthalpy at 0 K, kJ/mol of formula units: 39
E, eV/atom: -38.918

```
MnHgRu2
1.0
2.779 0.000 0.000
0.000 2.779 0.000
0.000 0.000 7.752
Hg Mn Ru
1 1 2
direct
0.000 0.000 0.500
0.500 0.500 0.772
0.000 0.000 0.008
0.500 0.500 0.220
```